No. 1
Material: Eu3MgPd
Method: DFT, PBE
State: optimized geometry

Unit cell a=5.740 b=5.740 c=5.740 alpha=90.00 beta=90.00 gamma=90.00
Space group Pm-3m (No. 221)
Inequivalent atoms, fractional coordinates:
1 Eu 0.000 0.000 0.500 x3
2 Mg 0.500 0.500 0.500 x1
3 Pd 0.000 0.000 0.000 x1

Properties
**Crystal system**: cubic
**Formation energy**: -0.214 eV per atom



No. 2
Material: Tb3Cd2In2
Method: DFT, PBE
State: optimized geometry

Unit cell a=3.699 b=4.826 c=20.810 alpha=90.00 beta=90.00 gamma=90.00
Space group Immm (No. 71)
Inequivalent atoms, fractional coordinates:
1 Tb 0.000 0.000 0.000 x2
2 Tb 0.000 0.500 0.200 x4
3 Cd 0.000 0.000 0.433 x4
4 In 0.000 0.500 0.355 x4

Properties
**Crystal system**: orthorhombic
**Formation energy**: -0.380 eV per atom



No. 3
Material: NaP2PtS8
Method: DFT, PBE
State: optimized geometry

Unit cell a=5.8037 b=5.8037 c=8.9599 alpha=90.00 beta=90.00 gamma=120.00
Space group P-3 (No. 147)
Inequivalent atoms, fractional coordinates:
1 Na 0.0000 0.0000 0.0000 x1
2 P 0.3333 0.6667 0.7245 x2
3 Pt 0.0000 0.0000 0.5000 x1
4 S 0.0161 0.6823 0.3334 x6
5 S 0.3333 0.6667 0.9487 x2

Properties
**Crystal system**: trigonal
**Formation energy from raw total energies**: -0.20 eV/atom



No. 4
Material: HoAlGaCu6
Method: DFT, PBE
State: optimized geometry

Unit cell a=6.788 b=8.736 c=9.704 alpha=90.00 beta=90.00 gamma=90.00
Space group Imma (No. 74)
Inequivalent atoms, fractional coordinates:
1 Ho 0.000 0.250 0.215 x4
2 Al 0.250 0.250 0.750 x4
3 Ga 0.000 0.000 0.000 x4
4 Cu 0.000 0.250 0.521 x4
5 Cu 0.000 0.250 0.922 x4
6 Cu 0.182 0.003 0.372 x16

Properties
**Crystal system**: orthorhombic
**Formation energy**: 0.069 eV per atom